The following is a DFT calculation (PBE) of a relaxed structure of Tc2PdRu.

Structure (CIF):
```
data_Tc2PdRu
_chemical_formula_sum 'Tc8 Pd4 Ru4'
_cell_length_a 7.0115
_cell_length_b 7.0115
_cell_length_c 5.2901
_cell_angle_alpha 90.00
_cell_angle_beta 90.00
_cell_angle_gamma 90.00
_symmetry_space_group_name_H-M 'I -4 2 d'
_symmetry_Int_Tables_number 122
_symmetry_space_group_name_Hall 'I -4 2bw'
loop_
_atom_site_label
_atom_site_fract_x
_atom_site_fract_y
_atom_site_fract_z
Tc1 0.2164 0.7500 0.1250
Pd1 0.0000 0.0000 0.5000
Ru1 0.0000 0.0000 0.0000
```

Properties
Energy of formation from the pure elements in eV per atom: 0.6873
Excess energy over the best structure of this formula in the dataset in meV/atom: 606.4
Electronic total energy in eV per atom: -8.11

***

The following is a DFT calculation (PBE) of a relaxed structure of Be2NiW2.

Structure (CIF):
```
data_Be2NiW2
_chemical_formula_sum 'Be4 Ni2 W4'
_cell_length_a 6.9941
_cell_length_b 6.9941
_cell_length_c 2.6617
_cell_angle_alpha 90.00
_cell_angle_beta 90.00
_cell_angle_gamma 90.00
_symmetry_space_group_name_H-M 'P 4/m b m'
_symmetry_Int_Tables_number 127
_symmetry_space_group_name_Hall '-P 4 2ab'
loop_
_atom_site_label
_atom_site_fract_x
_atom_site_fract_y
_atom_site_fract_z
Be1 0.1697 0.3303 0.0000
Ni1 0.0000 0.0000 0.5000
W1 0.1288 0.6288 0.5000
```

Properties
Energy of formation from the pure elements in eV per atom: 0.5436
Excess energy over the best structure of this formula in the dataset in meV/atom: 248.0
Electronic total energy in eV per atom: -7.28

***

The following is a DFT calculation (PBE) of a relaxed structure of Nb2Co2Pd.

Structure (CIF):
```
data_Nb2Co2Pd
_chemical_formula_sum 'Nb4 Co4 Pd2'
_cell_length_a 6.9207
_cell_length_b 6.9207
_cell_length_c 3.0311
_cell_angle_alpha 90.00
_cell_angle_beta 90.00
_cell_angle_gamma 90.00
_symmetry_space_group_name_H-M 'P 4/m b m'
_symmetry_Int_Tables_number 127
_symmetry_space_group_name_Hall '-P 4 2ab'
loop_
_atom_site_label
_atom_site_fract_x
_atom_site_fract_y
_atom_site_fract_z
Nb1 0.1703 0.3297 0.0000
Co1 0.1308 0.6308 0.5000
Pd1 0.0000 0.0000 0.5000
```

Properties
Energy of formation from the pure elements in eV per atom: -0.2372
Excess energy over the best structure of this formula in the dataset in meV/atom: 0.0
Electronic total energy in eV per atom: -8.15

***

The following is a DFT calculation (PBE) of a relaxed structure of TcP2HO.

Structure (CIF):
```
data_TcP2HO
_chemical_formula_sum 'Tc1 P2 H1 O1'
_cell_length_a 3.4269
_cell_length_b 3.4269
_cell_length_c 4.4215
_cell_angle_alpha 90.00
_cell_angle_beta 90.00
_cell_angle_gamma 90.00
_symmetry_space_group_name_H-M 'P 4/m m m'
_symmetry_Int_Tables_number 123
_symmetry_space_group_name_Hall '-P 4 2'
loop_
_atom_site_label
_atom_site_fract_x
_atom_site_fract_y
_atom_site_fract_z
Tc1 0.0000 0.0000 0.0000
P1 0.0000 0.5000 0.5000
H1 0.5000 0.5000 0.5000
O1 0.5000 0.5000 0.0000
```

Properties
Excess energy over the best structure of this formula in the dataset in meV/atom: 159.0
Electronic total energy in eV per atom: -5.31

***

The following is a DFT calculation (PBE) of a relaxed structure of TbTmFe.

Structure (CIF):
```
data_TbTmFe
_chemical_formula_sum 'Tb8 Tm8 Fe8'
_cell_length_a 6.7717
_cell_length_b 11.8592
_cell_length_c 7.2650
_cell_angle_alpha 90.00
_cell_angle_beta 90.00
_cell_angle_gamma 90.00
_symmetry_space_group_name_H-M 'C m c e'
_symmetry_Int_Tables_number 64
_symmetry_space_group_name_Hall '-C 2ac 2'
loop_
_atom_site_label
_atom_site_fract_x
_atom_site_fract_y
_atom_site_fract_z
Tb1 0.0000 0.1975 0.1134
Tm1 0.2500 0.0435 0.7500
Fe1 0.0000 0.0920 0.4570
```

Properties
Energy of formation from the pure elements in eV per atom: 0.0312
Electronic total energy in eV per atom: -5.82

***

The following is a DFT calculation (PBE) of a relaxed structure of CrGeOs.

Structure (CIF):
```
data_CrGeOs
_chemical_formula_sum 'Cr4 Ge4 Os4'
_cell_length_a 13.8359
_cell_length_b 2.7537
_cell_length_c 5.2760
_cell_angle_alpha 90.00
_cell_angle_beta 112.03
_cell_angle_gamma 90.00
_symmetry_space_group_name_H-M 'C 1 2/m 1'
_symmetry_Int_Tables_number 12
loop_
_symmetry_equiv_pos_as_xyz
'x,y,z'
'-x,-y,-z'
'-x,y,-z'
'x,-y,z'
'x+1/2,y+1/2,z'
'-x+1/2,-y+1/2,-z'
'-x+1/2,y+1/2,-z'
'x+1/2,-y+1/2,z'
loop_
_atom_site_label
_atom_site_fract_x
_atom_site_fract_y
_atom_site_fract_z
Cr1 0.9995 0.0000 0.2216
Ge1 0.1838 0.0000 0.1812
Os1 0.1414 0.0000 0.6388
```

Properties
Energy of formation from the pure elements in eV per atom: 0.5897
Electronic total energy in eV per atom: -7.90

***

The following is a DFT calculation (PBE) of a relaxed structure of ScSb2Rh.

Structure (CIF):
```
data_ScSb2Rh
_chemical_formula_sum 'Sc1 Sb2 Rh1'
_cell_length_a 3.8235
_cell_length_b 3.8235
_cell_length_c 5.7904
_cell_angle_alpha 90.00
_cell_angle_beta 90.00
_cell_angle_gamma 90.00
_symmetry_space_group_name_H-M 'P 4 m m'
_symmetry_Int_Tables_number 99
loop_
_symmetry_equiv_pos_as_xyz
'x,y,z'
'-y,x,z'
'-x,-y,z'
'y,-x,z'
'-x,y,z'
'y,x,z'
'x,-y,z'
'-y,-x,z'
loop_
_atom_site_label
_atom_site_fract_x
_atom_site_fract_y
_atom_site_fract_z
Sc1 0.0000 0.0000 0.0000
Sb1 0.0000 0.0000 0.4897
Sb2 0.5000 0.5000 0.8328
Rh1 0.5000 0.5000 0.3420
```

Properties
Energy relative to the elements, uncorrected in eV/atom: -0.493
Electronic total energy in eV per atom: -5.97

***

The following is a DFT calculation (PBE) of a relaxed structure of Si2W3.

Structure (CIF):
```
data_Si2W3
_chemical_formula_sum 'Si4 W6'
_cell_length_a 6.6249
_cell_length_b 6.6249
_cell_length_c 3.3184
_cell_angle_alpha 90.00
_cell_angle_beta 90.00
_cell_angle_gamma 90.00
_symmetry_space_group_name_H-M 'P 4/m b m'
_symmetry_Int_Tables_number 127
_symmetry_space_group_name_Hall '-P 4 2ab'
loop_
_atom_site_label
_atom_site_fract_x
_atom_site_fract_y
_atom_site_fract_z
Si1 0.1341 0.3659 0.0000
W1 0.0000 0.0000 0.0000
W2 0.1598 0.6598 0.5000
```

Properties
Excess energy over the best structure of this formula in the dataset in meV/atom: 0.0
Energy relative to the elements, uncorrected in eV/atom: 0.000
Electronic total energy in eV per atom: -9.94

***

What did the fourth record say?
The following is a DFT calculation (PBE) of a relaxed structure of TcP2HO.

Structure (CIF):
```
data_TcP2HO
_chemical_formula_sum 'Tc1 P2 H1 O1'
_cell_length_a 3.4269
_cell_length_b 3.4269
_cell_length_c 4.4215
_cell_angle_alpha 90.00
_cell_angle_beta 90.00
_cell_angle_gamma 90.00
_symmetry_space_group_name_H-M 'P 4/m m m'
_symmetry_Int_Tables_number 123
_symmetry_space_group_name_Hall '-P 4 2'
loop_
_atom_site_label
_atom_site_fract_x
_atom_site_fract_y
_atom_site_fract_z
Tc1 0.0000 0.0000 0.0000
P1 0.0000 0.5000 0.5000
H1 0.5000 0.5000 0.5000
O1 0.5000 0.5000 0.0000
```

Properties
Excess energy over the best structure of this formula in the dataset in meV/atom: 159.0
Electronic total energy in eV per atom: -5.31

***

> Which value of electronic total energy does entry 5 give?

-5.82 eV per atom

***

> Which of these has the highest electronic total energy?

TcP2HO

***

> Look up the electronic total energy of the seventh one.

-5.97 eV per atom